Compound: V6RuW3
Source: Alexandria
Functional: GGA-PBE
Structure: optimized geometry

Summary:
energy	-208.87	eV for the cell shown
formation energy from the elements	-0.16	eV/atom
density	11.2	g/cm3
crystal system	monoclinic

Lattice parameters (Å, degrees): 7.482 4.315 9.163 90.00 105.91 90.00
Space group P2_1/m (No. 11)
Unique sites:
V (0.048, 0.250, 0.398) (multiplicity 2)
V (0.146, 0.750, 0.198) (multiplicity 2)
V (0.149, 0.250, 0.701) (multiplicity 2)
V (0.246, 0.250, 0.998) (multiplicity 2)
V (0.347, 0.750, 0.802) (multiplicity 2)
V (0.450, 0.250, 0.602) (multiplicity 2)
Ru (0.051, 0.750, 0.900) (multiplicity 2)
W (0.246, 0.750, 0.501) (multiplicity 2)
W (0.349, 0.250, 0.299) (multiplicity 2)
W (0.451, 0.750, 0.101) (multiplicity 2)


Compound: V6RuW
Source: Alexandria
Functional: GGA-PBE
Structure: optimized geometry

Summary:
energy	-156.67	eV for the cell shown
formation energy from the elements	-0.17	eV/atom
density	8.9	g/cm3
crystal system	orthorhombic

Lattice parameters (Å, degrees): 4.257 6.066 8.532 90.00 90.00 90.00
Space group Amm2 (No. 38)
Unique sites:
V (0.000, 0.000, 0.000) (multiplicity 2)
V (0.000, 0.247, 0.753) (multiplicity 4)
V (0.500, 0.000, 0.758) (multiplicity 2)
V (0.500, 0.248, 0.003) (multiplicity 4)
Ru (0.000, 0.000, 0.505) (multiplicity 2)
W (0.500, 0.000, 0.250) (multiplicity 2)